The following is a PBE-GGA calculation of a relaxed DyUAlO6 crystal, from Alexandria via LeMat-Bulk.

Calculated values
Raw formation energy ... -3.181 eV per atom
Space group ... P-31c (163)
Total magnetization ... 0.00 μB/cell

abc: 5.2821 5.2821 9.7409
angles: 90.00 90.00 120.00
Closest atoms and distances in Å follow each position.
Atoms (fractional coordinates):
Dy  0.0000  0.0000  0.0000  6 O 2.32
Dy  0.0000  0.0000  0.5000  6 O 2.32
U  0.3333  0.6667  0.2500  6 O 2.09
U  0.6667  0.3333  0.7500  6 O 2.09
Al  0.3333  0.6667  0.7500  6 O 1.94
Al  0.6667  0.3333  0.2500  6 O 1.94
O  0.0220  0.3650  0.6399  1 Al 1.94, 1 U 2.09
O  0.0220  0.6569  0.8601  1 Al 1.94, 1 U 2.09
O  0.3431  0.3650  0.8601  1 Al 1.94, 1 U 2.09
O  0.3431  0.9780  0.6399  1 Al 1.94, 1 U 2.09
O  0.3650  0.0220  0.1399  1 Al 1.94, 1 U 2.09
O  0.3650  0.3431  0.3601  1 Al 1.94, 1 U 2.09
O  0.6350  0.6569  0.6399  1 Al 1.94, 1 U 2.09
O  0.6350  0.9780  0.8601  1 Al 1.94, 1 U 2.09
O  0.6569  0.0220  0.3601  1 Al 1.94, 1 U 2.09
O  0.6569  0.6350  0.1399  1 Al 1.94, 1 U 2.09
O  0.9780  0.3431  0.1399  1 Al 1.94, 1 U 2.09
O  0.9780  0.6350  0.3601  1 Al 1.94, 1 U 2.09

***

The following is a PBE-GGA calculation of a relaxed ErHgBi2 crystal, from Alexandria via LeMat-Bulk.

Calculated values
Energy relative to the elements ... -1.31 eV per formula unit
Distance to the lowest polymorph of the same formula ... 0.06 eV/f.u.
Space group ... P4/mmm (123)
Total magnetization ... 0.00 μB/cell

abc: 4.8664 4.8664 4.7203
angles: 90.00 90.00 90.00
Closest atoms and distances in Å follow each position.
Atoms (fractional coordinates):
Er  0.0000  0.0000  0.0000  8 Bi 3.39, 4 Hg 3.44
Hg  0.5000  0.5000  0.0000  8 Bi 3.39, 4 Er 3.44
Bi  0.0000  0.5000  0.5000  4 Hg 3.39, 4 Er 3.39, 4 Bi 3.44
Bi  0.5000  0.0000  0.5000  4 Hg 3.39, 4 Er 3.39, 4 Bi 3.44

***

The following is a PBE-GGA calculation of a relaxed TlTc2AgO6 crystal, from Alexandria via LeMat-Bulk.

Calculated values
Raw formation energy ... -0.926 eV per atom
Space group ... C2/c (15)
Total magnetization ... 4.02 μB/cell

abc: 8.4046 8.4046 6.7080
angles: 107.29 107.29 79.79
Closest atoms and distances in Å follow each position.
Atoms (fractional coordinates):
Tl  0.1021  0.8979  0.7500  4 O 2.68-2.87
Tl  0.8979  0.1021  0.2500  4 O 2.68-2.87
Tc  0.0998  0.4280  0.8887  3 O 1.75-1.80
Tc  0.4280  0.0998  0.3887  3 O 1.75-1.80
Tc  0.5720  0.9002  0.6113  3 O 1.75-1.80
Tc  0.9002  0.5720  0.1113  3 O 1.75-1.80
Ag  0.4697  0.5303  0.2500  2 O 2.09
Ag  0.5303  0.4697  0.7500  2 O 2.09
O  0.0033  0.7427  0.2941  1 Tc 1.75
O  0.1203  0.5829  0.7746  1 Tc 1.75
O  0.2573  0.9967  0.2059  1 Tc 1.75
O  0.2833  0.3680  0.0824  1 Tc 1.80
O  0.3680  0.2833  0.5824  1 Tc 1.80
O  0.4171  0.8797  0.7254  1 Tc 1.75
O  0.5829  0.1203  0.2746  1 Tc 1.75
O  0.6320  0.7167  0.4176  1 Tc 1.80
O  0.7167  0.6320  0.9176  1 Tc 1.80
O  0.7427  0.0033  0.7941  1 Tc 1.75
O  0.8797  0.4171  0.2254  1 Tc 1.75
O  0.9967  0.2573  0.7059  1 Tc 1.75

***

The following is a PBE-GGA calculation of a relaxed LiSiCl crystal, from Alexandria via LeMat-Bulk.

Calculated values
Raw formation energy ... 0.363 eV per atom
Distance to the lowest polymorph of the same formula ... 4.00 eV/f.u.
Space group ... F-43m (216)
Total magnetization ... 0.00 μB/cell

abc: 6.5949 6.5949 6.5949
angles: 90.00 90.00 90.00
Closest atoms and distances in Å follow each position.
Atoms (fractional coordinates):
Li  0.0000  0.0000  0.0000  4 Cl 2.86
Li  0.0000  0.5000  0.5000  4 Cl 2.86
Li  0.5000  0.0000  0.5000  4 Cl 2.86
Li  0.5000  0.5000  0.0000  4 Cl 2.86
Si  0.0000  0.0000  0.5000  4 Cl 2.86
Si  0.0000  0.5000  0.0000  4 Cl 2.86
Si  0.5000  0.0000  0.0000  4 Cl 2.86
Si  0.5000  0.5000  0.5000  4 Cl 2.86
Cl  0.2500  0.2500  0.2500  4 Li 2.86, 4 Si 2.86
Cl  0.2500  0.7500  0.7500  4 Li 2.86, 4 Si 2.86
Cl  0.7500  0.2500  0.7500  4 Li 2.86, 4 Si 2.86
Cl  0.7500  0.7500  0.2500  4 Li 2.86, 4 Si 2.86

***

The following is a PBE-GGA calculation of a relaxed LiTbPa2N5 crystal, from Alexandria via LeMat-Bulk.

Calculated values
Raw formation energy ... -1.183 eV per atom
Space group ... Cmc2_1 (36)
Total magnetization ... 0.00 μB/cell

abc: 6.6997 6.6997 10.3512
angles: 90.00 90.00 149.48
Closest atoms and distances in Å follow each position.
Atoms (fractional coordinates):
Li  0.0135  0.9865  0.5000  4 N 1.94-2.05
Li  0.9865  0.0135  0.0000  4 N 1.94-2.05
Tb  0.3507  0.6493  0.4230  6 N 2.38-2.64
Tb  0.6493  0.3507  0.9230  6 N 2.38-2.64
Pa  0.3300  0.6700  0.1116  6 N 2.19-2.40
Pa  0.4008  0.5992  0.7478  4 N 2.19-2.33
Pa  0.5992  0.4008  0.2478  4 N 2.19-2.33
Pa  0.6700  0.3300  0.6116  6 N 2.19-2.40
N  0.0081  0.9919  0.8084  1 Li 2.00
N  0.1618  0.8382  0.0903  1 Pa 2.19
N  0.1708  0.8292  0.4733  1 Li 2.05, 2 Pa 2.27
N  0.2211  0.7789  0.7556  3 Pa 2.32-2.40
N  0.5001  0.4999  0.0764  2 Li 1.94
N  0.4999  0.5001  0.5764  2 Li 1.94
N  0.7789  0.2211  0.2556  3 Pa 2.32-2.40
N  0.8292  0.1708  0.9733  1 Li 2.05, 2 Pa 2.27
N  0.8382  0.1618  0.5903  1 Pa 2.19
N  0.9919  0.0081  0.3084  1 Li 2.00

***

The following is a PBE-GGA calculation of a relaxed NaLi3N crystal, from Alexandria via LeMat-Bulk.

Calculated values
Raw formation energy ... -0.118 eV per atom
Distance to the lowest polymorph of the same formula ... 0.14 eV/f.u.
Space group ... Pm-3m (221)
Total magnetization ... 0.00 μB/cell

abc: 4.1250 4.1250 4.1250
angles: 90.00 90.00 90.00
Closest atoms and distances in Å follow each position.
Atoms (fractional coordinates):
Na  0.0000  0.0000  0.0000  12 Li 2.92
Li  0.0000  0.5000  0.5000  2 N 2.06
Li  0.5000  0.0000  0.5000  2 N 2.06
Li  0.5000  0.5000  0.0000  2 N 2.06
N  0.5000  0.5000  0.5000  6 Li 2.06

***

The following is a PBE-GGA calculation of a relaxed Dy3Ni7B2 crystal, from Alexandria via LeMat-Bulk.

Calculated values
Energy relative to the elements ... -6.10 eV per formula unit
Space group ... P6_3/mmc (194)
Total magnetization ... 0.00 μB/cell

abc: 5.0810 5.0810 14.3175
angles: 90.00 90.00 120.00
Closest atoms and distances in Å follow each position.
Atoms (fractional coordinates):
Dy  0.3333  0.6667  0.0319  12 Ni 2.97-3.05, 4 Dy 3.07-3.12
Dy  0.3333  0.6667  0.2500  12 Ni 2.92, 6 B 2.93, 2 Dy 3.12
Dy  0.3333  0.6667  0.4681  12 Ni 2.97-3.05, 4 Dy 3.07-3.12
Dy  0.6667  0.3333  0.5319  12 Ni 2.97-3.05, 4 Dy 3.07-3.12
Dy  0.6667  0.3333  0.7500  12 Ni 2.92, 6 B 2.93, 2 Dy 3.12
Dy  0.6667  0.3333  0.9681  12 Ni 2.97-3.05, 4 Dy 3.07-3.12
Ni  0.0000  0.0000  0.0000  6 Ni 2.59
Ni  0.0000  0.0000  0.5000  6 Ni 2.59
Ni  0.1656  0.3311  0.6494  2 B 2.05-2.06
Ni  0.1656  0.3311  0.8506  2 B 2.05-2.06
Ni  0.1656  0.8344  0.6494  2 B 2.05-2.06
Ni  0.1656  0.8344  0.8506  2 B 2.05-2.06
Ni  0.3311  0.1656  0.1494  2 B 2.05-2.06
Ni  0.3311  0.1656  0.3506  2 B 2.05-2.06
Ni  0.6689  0.8344  0.6494  2 B 2.05-2.06
Ni  0.6689  0.8344  0.8506  2 B 2.05-2.06
Ni  0.8344  0.1656  0.1494  2 B 2.05-2.06
Ni  0.8344  0.1656  0.3506  2 B 2.05-2.06
Ni  0.8344  0.6689  0.1494  2 B 2.05-2.06
Ni  0.8344  0.6689  0.3506  2 B 2.05-2.06
B  0.0000  0.0000  0.2500  6 Ni 2.05
B  0.0000  0.0000  0.7500  6 Ni 2.05
B  0.3333  0.6667  0.7500  6 Ni 2.06
B  0.6667  0.3333  0.2500  6 Ni 2.06

***

The following is a PBE-GGA calculation of a relaxed MnGaTc crystal, from Alexandria via LeMat-Bulk.

Calculated values
Energy relative to the elements ... 0.05 eV per formula unit
Distance to the lowest polymorph of the same formula ... 0.42 eV/f.u.
Space group ... P3m1 (156)
Total magnetization ... 1.47 μB/cell

abc: 4.1843 4.1843 2.6896
angles: 90.00 90.00 120.00
Closest atoms and distances in Å follow each position.
Atoms (fractional coordinates):
Mn  0.0000  0.0000  0.0000  3 Ga 2.50, 3 Tc 2.56, 2 Mn 2.69
Ga  0.6667  0.3333  0.7541  3 Mn 2.50, 3 Tc 2.68, 2 Ga 2.69
Tc  0.3333  0.6667  0.3201  3 Mn 2.56, 6 Ga 2.68-2.86, 2 Tc 2.69

***

The highest total magnetization belongs to which entry? TlTc2AgO6

***

Look up the total magnetization of the eighth one. 1.47 μB/cell

***

Please write out number 7 again, unchanged.
The following is a PBE-GGA calculation of a relaxed Dy3Ni7B2 crystal, from Alexandria via LeMat-Bulk.

Calculated values
Energy relative to the elements ... -6.10 eV per formula unit
Space group ... P6_3/mmc (194)
Total magnetization ... 0.00 μB/cell

abc: 5.0810 5.0810 14.3175
angles: 90.00 90.00 120.00
Closest atoms and distances in Å follow each position.
Atoms (fractional coordinates):
Dy  0.3333  0.6667  0.0319  12 Ni 2.97-3.05, 4 Dy 3.07-3.12
Dy  0.3333  0.6667  0.2500  12 Ni 2.92, 6 B 2.93, 2 Dy 3.12
Dy  0.3333  0.6667  0.4681  12 Ni 2.97-3.05, 4 Dy 3.07-3.12
Dy  0.6667  0.3333  0.5319  12 Ni 2.97-3.05, 4 Dy 3.07-3.12
Dy  0.6667  0.3333  0.7500  12 Ni 2.92, 6 B 2.93, 2 Dy 3.12
Dy  0.6667  0.3333  0.9681  12 Ni 2.97-3.05, 4 Dy 3.07-3.12
Ni  0.0000  0.0000  0.0000  6 Ni 2.59
Ni  0.0000  0.0000  0.5000  6 Ni 2.59
Ni  0.1656  0.3311  0.6494  2 B 2.05-2.06
Ni  0.1656  0.3311  0.8506  2 B 2.05-2.06
Ni  0.1656  0.8344  0.6494  2 B 2.05-2.06
Ni  0.1656  0.8344  0.8506  2 B 2.05-2.06
Ni  0.3311  0.1656  0.1494  2 B 2.05-2.06
Ni  0.3311  0.1656  0.3506  2 B 2.05-2.06
Ni  0.6689  0.8344  0.6494  2 B 2.05-2.06
Ni  0.6689  0.8344  0.8506  2 B 2.05-2.06
Ni  0.8344  0.1656  0.1494  2 B 2.05-2.06
Ni  0.8344  0.1656  0.3506  2 B 2.05-2.06
Ni  0.8344  0.6689  0.1494  2 B 2.05-2.06
Ni  0.8344  0.6689  0.3506  2 B 2.05-2.06
B  0.0000  0.0000  0.2500  6 Ni 2.05
B  0.0000  0.0000  0.7500  6 Ni 2.05
B  0.3333  0.6667  0.7500  6 Ni 2.06
B  0.6667  0.3333  0.2500  6 Ni 2.06

***

Which formula does entry 8 have? MnGaTc